CaBC2 after structural relaxation. Source: Alexandria via LeMat-Bulk, functional GGA-PBE.

```
4
Lattice="3.663 0.000 0.000 0.000 2.057 3.532 0.000 -2.057 3.532" Properties=species:S:1:pos:R:3 pbc="T T T"
Ca 0.000 0.000 0.000
B 1.831 0.000 2.021
C 1.831 -0.664 5.265
C 1.831 0.664 5.265
```

Properties
* crystal system: orthorhombic
* VASP energy: -0.251 Ha/atom
* formation energy from the elements: -0.056 eV/atom
* DOS at the Fermi energy: 0.86 states/eV per cell
* spin magnetization: 0.00 μB per cell
* theoretical density: 2.337 g cm⁻³